A relaxed CdAs2Ir crystal, computed with GGA-PBE.

The space group is Cmmm (No. 65) and the conventional cell measures 5.689, 7.718 and 3.252 Å, with angles of 90.00, 90.00 and 90.00 degrees. Symmetry generates all atoms from Cd at (0.000, 0.000, 0.000), As at (0.250, 0.250, 0.500) and Ir at (0.000, 0.500, 0.000).

For the density of states at the Fermi level, the calculation gives 1.814 states/eV/f.u. The value obtained for the energy of formation from the pure elements is 0.309 eV/atom. Its crystal system is orthorhombic. The calculation puts the total energy at -4.46 eV per atom. Its magnetization is 0.00 μB/f.u.

A relaxed CdAs2Ir2 crystal, computed with GGA-PBE.

The space group is I4/mmm (No. 139) and the conventional cell measures 4.056, 4.056 and 11.374 Å, with angles of 90.00, 90.00 and 90.00 degrees. Symmetry generates all atoms from Cd at (0.000, 0.000, 0.000), As at (0.000, 0.500, 0.250) and Ir at (0.000, 0.000, 0.379).

For the density of states at the Fermi level, the calculation gives 2.475 states/eV/f.u. The value obtained for the energy of formation from the pure elements is 0.093 eV/atom. Its crystal system is tetragonal. The calculation puts the total energy at -5.49 eV per atom. Its magnetization is 0.00 μB/f.u.

A relaxed CdAs2Ir crystal, computed with GGA-PBE.

The space group is I-42d (No. 122) and the conventional cell measures 5.911, 5.911 and 11.478 Å, with angles of 90.00, 90.00 and 90.00 degrees. Symmetry generates all atoms from Cd at (0.000, 0.000, 0.000), As at (0.201, 0.250, 0.625) and Ir at (0.000, 0.000, 0.500).

For the density of states at the Fermi level, the calculation gives 2.859 states/eV/f.u. The value obtained for the energy of formation from the pure elements is 0.078 eV/atom. Its crystal system is tetragonal. The calculation puts the total energy at -4.69 eV per atom. Its magnetization is 0.00 μB/f.u.

> Look up the energy of formation from the pure elements of the third one.

0.078 eV/atom

Repeat the second record exactly.
A relaxed CdAs2Ir2 crystal, computed with GGA-PBE.

The space group is I4/mmm (No. 139) and the conventional cell measures 4.056, 4.056 and 11.374 Å, with angles of 90.00, 90.00 and 90.00 degrees. Symmetry generates all atoms from Cd at (0.000, 0.000, 0.000), As at (0.000, 0.500, 0.250) and Ir at (0.000, 0.000, 0.379).

For the density of states at the Fermi level, the calculation gives 2.475 states/eV/f.u. The value obtained for the energy of formation from the pure elements is 0.093 eV/atom. Its crystal system is tetragonal. The calculation puts the total energy at -5.49 eV per atom. Its magnetization is 0.00 μB/f.u.